[1]
# LaAlCu4

A relaxed LaAlCu4 crystal (PBE, Alexandria).

Geometry as extended XYZ:
```
6
Lattice="5.363 0.000 0.000 -2.682 4.645 0.000 0.000 0.000 4.015" Properties=species:S:1:pos:R:3 pbc="T T T"
La 0.000 0.000 0.000
Al 2.682 1.548 0.000
Cu -1.332 2.328 2.007
Cu 0.000 3.097 0.000
Cu 1.332 2.328 2.007
Cu 0.000 4.634 2.007
```

Summary:
* formation enthalpy at 0 K: -227 meV/atom
* magnetic moment: 0.0 μB per cell
* ρ: 6.975 g/cm³
* energy: -26.42 eV/cell

[2]
# SnMo3Cl

A relaxed SnMo3Cl crystal (PBE, Alexandria).

Geometry as extended XYZ:
```
5
Lattice="5.020 0.000 0.000 0.000 5.020 0.000 0.000 0.000 5.020" Properties=species:S:1:pos:R:3 pbc="T T T"
Sn 0.000 0.000 0.000
Mo 0.000 0.000 2.510
Mo 0.000 2.510 0.000
Mo 2.510 0.000 0.000
Cl 2.510 2.510 2.510
```

Summary:
* magnetic moment: 0.6 μB per cell
* ρ: 5.802 g/cm³
* energy: -26.08 eV/cell
* formation energy from raw total energies: 2.452 eV/atom